MnCd2SbO6: relaxed, GGA+U.

Computed properties:
Raw total energy: -5.6323 eV per atom
Symmetry: C2/m (12)

Lattice parameters (Å, degrees): 5.372 5.713 5.713 57.80 60.49 60.49
Sites, in units of the cell vectors:
O 0.501 0.129 0.373
O 0.966 0.545 0.281
O 0.132 0.504 0.730
O 0.666 0.086 0.822
O 0.131 0.995 0.238
O 0.502 0.637 0.865
Mn 0.816 0.816 0.551
Cd 0.089 0.069 0.805
Cd 0.543 0.563 0.298
Sb 0.316 0.316 0.052